No. 1
Ho4Ga16Cu3 after structural relaxation, computed with PBE-GGA.

Lattice parameters (Å, degrees): 6.2028 6.2028 10.9393 90.00 90.00 90.00
Closest atoms and distances in Å follow each position.
Space group P4/mmm (No. 123)
Unique sites:
Ho 0.0000 0.5000 0.1901 (multiplicity 4)  12 Ga 3.01-3.13
Ga 0.0000 0.0000 0.1997 (multiplicity 2)  8 Ga 2.88-2.89, 4 Ho 3.10
Ga 0.2144 0.2144 0.0000 (multiplicity 4)  1 Cu 2.51, 2 Ga 2.66
Ga 0.2429 0.2429 0.3787 (multiplicity 8)  2 Cu 2.56, 2 Ga 2.65-2.77
Ga 0.5000 0.5000 0.2314 (multiplicity 2)  1 Cu 2.53, 4 Ga 2.77
Cu 0.0000 0.5000 0.5000 (multiplicity 2)  8 Ga 2.56
Cu 0.5000 0.5000 0.0000 (multiplicity 1)  6 Ga 2.51-2.53

Properties
Its energy of formation is -0.388 eV per atom.

***

No. 2
SmZr2Cr after structural relaxation, computed with PBE-GGA.

Lattice parameters (Å, degrees): 3.2228 3.2228 30.9357 90.00 90.00 120.00
Closest atoms and distances in Å follow each position.
Space group R-3m (No. 166, hexagonal axes)
Unique sites:
Sm 0.0000 0.0000 0.0000 (multiplicity 3)  6 Sm 3.22, 2 Zr 3.24
Zr 0.0000 0.0000 0.1047 (multiplicity 6)  3 Cr 2.67
Cr 0.0000 0.0000 0.5000 (multiplicity 3)  6 Zr 2.67

Properties
Its energy of formation is 0.462 eV per atom.

***

No. 3
CaMgSc2Fe after structural relaxation, computed with PBE-GGA.

Lattice parameters (Å, degrees): 4.8066 4.8066 5.2215 90.00 90.00 90.00
Closest atoms and distances in Å follow each position.
Space group P4/mmm (No. 123)
Unique sites:
Ca 0.0000 0.0000 0.0000 (multiplicity 1)  4 Mg 3.40, 8 Sc 3.55
Mg 0.5000 0.5000 0.0000 (multiplicity 1)  2 Fe 2.61
Sc 0.0000 0.5000 0.5000 (multiplicity 2)  2 Fe 2.40
Fe 0.5000 0.5000 0.5000 (multiplicity 1)  4 Sc 2.40, 2 Mg 2.61

Properties
Its energy of formation is 0.036 eV per atom.

***

No. 4
Rb2PaCdSe4 after structural relaxation, computed with PBE-GGA.

Lattice parameters (Å, degrees): 7.4384 4.2563 8.4296 90.00 108.64 90.00
Closest atoms and distances in Å follow each position.
Space group P2/m (No. 10)
Unique sites:
Rb 0.0000 0.0000 0.0000 (multiplicity 1)  6 Se 3.38-3.49
Rb 0.5000 0.5000 0.0000 (multiplicity 1)  6 Se 3.44-3.60
Pa 0.0000 0.5000 0.5000 (multiplicity 1)  6 Se 2.89-2.90
Cd 0.5000 0.0000 0.5000 (multiplicity 1)  6 Se 2.87-3.12
Se 0.2172 0.0000 0.7044 (multiplicity 2)  2 Pa 2.89, 1 Cd 3.12
Se 0.2680 0.5000 0.3148 (multiplicity 2)  2 Cd 2.87, 1 Pa 2.90

Properties
As for the formation energy from raw total energies: -1.134 eV per atom.

***

Volume readings, ordered: 421 278 121 253 Å³/cell